[1]
DFT (GGA+U) results for an optimized crystal structure of KCr4O8.

Properties
E, eV/atom: -7.1904
Symmetry: I4/m, No. 87

abc: 7.1957 7.1957 7.1957
angles: 92.50 92.50 155.91
Each line ends with the local moment (μB).
Element x y z (fractional)
Cr 0.8359 0.3477 0.1836  2.58
Cr 0.3477 0.1641 0.5118  2.58
Cr 0.1641 0.6523 0.8164  2.58
Cr 0.6523 0.8359 0.4882  2.58
O 0.2028 0.8454 0.0482  -0.10
O 0.5391 0.1628 0.7018  -0.24
O 0.8372 0.5391 0.3763  -0.24
O 0.7972 0.1546 0.9518  -0.10
O 0.1628 0.4609 0.6237  -0.24
O 0.1546 0.2028 0.3573  -0.10
O 0.4609 0.8372 0.2982  -0.24
O 0.8454 0.7972 0.6427  -0.10
K 0.5000 0.5000 0.0000  0.00

***

[2]
DFT (GGA+U) results for an optimized crystal structure of K2Cr3O6.

Properties
E, eV/atom: -6.7600
Symmetry: C2/m, No. 12

abc: 5.2403 5.2403 6.4080
angles: 82.19 74.24 60.00
Each line ends with the local moment (μB).
Element x y z (fractional)
Cr 0.3342 0.3316 0.0000  2.80
Cr 0.0000 0.0000 0.0000  2.87
Cr 0.6658 0.6684 0.0000  2.80
O 0.9475 0.6639 0.1630  -0.10
O 0.7215 0.0000 0.8365  -0.09
O 0.3886 0.6639 0.8370  -0.10
O 0.6114 0.3361 0.1630  -0.10
O 0.2785 0.0000 0.1635  -0.09
O 0.0525 0.3361 0.8370  -0.10
K 0.1666 0.6668 0.5000  0.00
K 0.8334 0.3332 0.5000  0.00

***

[3]
DFT (GGA+U) results for an optimized crystal structure of KCr3O8.

Properties
E, eV/atom: -6.7805
Symmetry: C2/m, No. 12
Distance to the lowest polymorph of the same formula, meV/atom: 0

abc: 5.2207 5.2207 7.8380
angles: 86.94 86.94 63.93
Each line ends with the local moment (μB).
Element x y z (fractional)
Cr 0.6332 0.6332 0.7051  0.13
Cr 0.0000 0.0000 0.5000  2.88
Cr 0.3668 0.3668 0.2949  0.13
O 0.3111 0.3111 0.1016  -0.01
O 0.7785 0.2760 0.6806  -0.02
O 0.6889 0.6889 0.8984  -0.01
O 0.7240 0.2215 0.3194  -0.02
O 0.2760 0.7785 0.6806  -0.02
O 0.2215 0.7240 0.3194  -0.02
O 0.7792 0.7792 0.5617  -0.06
O 0.2208 0.2208 0.4383  -0.06
K 0.0000 0.0000 0.0000  0.00

***

[4]
DFT (GGA+U) results for an optimized crystal structure of KCr3O.

Properties
E, eV/atom: -5.4486
Symmetry: Pm-3m, No. 221
Distance to the lowest polymorph of the same formula, meV/atom: 0

abc: 4.7203 4.7203 4.7203
angles: 90.00 90.00 90.00
Each line ends with the local moment (μB).
Element x y z (fractional)
Cr 0.5000 0.0000 0.0000  4.13
Cr 0.0000 0.0000 0.5000  4.42
Cr 0.0000 0.5000 0.0000  4.34
K 0.5000 0.5000 0.5000  0.06
O 0.0000 0.0000 0.0000  -0.14

***

What is the E in the second record?
-6.7600 eV/atom